No. 1
10
Lattice="4.7898 0.0000 -1.3171 -1.0599 9.4025 -3.8545 0.8946 -2.2713 12.6214" Properties=species:S:1:pos:R:3 comment="Ba4HgI5, relaxed, DFT GGA-PBE" density_g_cm3=4.302 m_tot_mub_per_fu=2.24 pbc="T T T"
Ba 3.2566 1.2819 2.4749
Ba -0.7931 7.1108 -2.8841
Ba 1.3680 5.8493 4.9748
Ba 5.4176 0.0204 10.3339
Hg 2.3949 0.0000 -0.6586
I 0.0591 8.4928 0.2148
I 0.6113 3.6516 2.2231
I 4.0133 3.4796 5.2267
I 1.8650 4.7013 -2.5858
I 4.5655 -1.3616 7.2350



No. 2
4
Lattice="-0.3843 -4.1464 3.1857 1.1975 -4.7871 -1.7718 9.3188 -1.7231 3.1960" Properties=species:S:1:pos:R:3 comment="BaHgI2, relaxed, DFT GGA-PBE" density_g_cm3=4.330 m_tot_mub_per_fu=0.00 e_above_lowest_polymorph_mev_per_atom=0 pbc="T T T"
Ba 0.5651 -5.9525 0.9495
Hg 5.0237 -5.3341 2.2922
I 7.6728 -1.9513 2.7003
I 1.9362 -2.7469 0.9728



No. 3
8
Lattice="-1.3875 2.3487 -5.1165 2.0011 -4.7198 -2.7092 -7.9013 -3.6248 0.4788" Properties=species:S:1:pos:R:3 comment="BaHg2I, relaxed, DFT GGA-PBE" density_g_cm3=7.550 m_tot_mub_per_fu=0.00 e_above_lowest_polymorph_mev_per_atom=0 pbc="T T T"
Ba -4.8369 -5.0379 -1.0009
Ba -2.7576 0.2275 -2.4332
Hg 0.0000 0.0000 0.0000
Hg 0.3068 -1.1855 -3.9128
Hg -0.1915 -2.9067 -1.2824
Hg -7.4030 -1.9036 -2.1517
I -3.9506 -1.8124 0.2394
I -3.6439 -2.9979 -3.6735



no.,formation energy without anion corrections (eV per atom),D(E_F) (states/eV per cell),V (Å³/cell)
1,-1.3904,2.0,534.40
2,-1.2860,0.0,226.92
3,-0.8200,2.6,292.70